# 1
This record from Alexandria describes a geometry-optimized KAcGe2Cl8 structure. The functional is PBE.

Structure (POSCAR):
```
KAcGe2Cl8
1.0
6.475 0.000 0.000
0.446 6.929 0.000
0.373 0.431 9.218
K Ac Ge Cl
1 1 2 8
direct
0.000 0.000 0.000
0.000 0.000 0.500
0.465 0.465 0.250
0.535 0.535 0.750
0.220 0.802 0.269
0.261 0.333 0.458
0.268 0.856 0.728
0.278 0.353 0.068
0.722 0.647 0.932
0.732 0.144 0.272
0.739 0.667 0.542
0.780 0.198 0.731
```

Symmetry   P-1, No. 2
Fermi-level density of states   0.000 states/eV/f.u.
Formation energy (no corrections)   -18.22 eV/f.u.
Mass density   2.791 g/cm³

***

# 2
This record from Alexandria describes a geometry-optimized La6DySc structure. The functional is PBE.

Structure (POSCAR):
```
La6DySc
1.0
5.153 0.000 0.000
0.000 5.153 0.000
0.000 0.000 10.307
La Dy Sc
6 1 1
direct
0.000 0.000 0.000
0.000 0.000 0.500
0.000 0.500 0.246
0.000 0.500 0.754
0.500 0.000 0.246
0.500 0.000 0.754
0.500 0.500 0.500
0.500 0.500 0.000
```

Total energy   -5.04 eV/atom
Symmetry   P4/mmm, No. 123
Fermi-level density of states   9.206 states/eV/f.u.
Mass density   6.316 g/cm³

***

# 3
This record from Alexandria describes a geometry-optimized SiPRu2 structure. The functional is PBE.

Structure (POSCAR):
```
SiPRu2
1.0
1.449 0.837 7.322
-1.449 0.837 7.322
0.000 -1.674 7.322
Si P Ru
1 1 2
direct
0.000 0.000 0.000
0.500 0.500 0.500
0.247 0.247 0.247
0.753 0.753 0.753
```

Symmetry   R-3m, No. 166
Fermi-level density of states   3.491 states/eV/f.u.
Formation energy (no corrections)   -1.31 eV/f.u.
Mass density   8.140 g/cm³

***

# 4
This record from Alexandria describes a geometry-optimized ScCoGe2 structure. The functional is PBE.

Structure (POSCAR):
```
ScCoGe2
1.0
1.980 1.143 4.716
-1.980 1.143 4.716
0.000 -2.286 4.716
Sc Co Ge
1 1 2
direct
0.000 0.000 0.000
0.500 0.500 0.500
0.223 0.223 0.223
0.777 0.777 0.777
```

Total energy   -6.18 eV/atom
Symmetry   R-3m, No. 166
Fermi-level density of states   2.262 states/eV/f.u.
Mass density   6.462 g/cm³

***

Across the entries above, spin magnetization takes the values 0.000; 0.000; 0.000; 0.000 μB/atom, respectively.